(1)
Below is an optimized crystal structure of Tb3CeHo3Se8, with properties calculated at the PBE level.

Structure (POSCAR):
```
Tb3CeHo3Se8
1.0
4.075 2.353 6.643
-4.075 2.353 6.643
0.000 -4.705 6.643
Tb Ce Ho Se
3 1 3 8
Cartesian
-2.037 -1.176 6.643 Tb
-2.037 1.176 13.287 Tb
0.000 2.353 6.643 Tb
0.000 0.000 9.965 Ce
-4.075 0.000 9.965 Ho
-2.037 1.176 3.322 Ho
2.037 1.176 3.322 Ho
-2.123 -1.226 11.670 Se
0.000 -2.451 8.260 Se
-2.123 1.226 8.260 Se
0.000 0.000 4.959 Se
0.000 0.000 14.971 Se
2.123 -1.226 11.670 Se
0.000 2.451 11.670 Se
2.123 1.226 8.260 Se
```

Output
For the total energy, the calculation gives -88.52 eV for the cell shown.

***

(2)
Below is an optimized crystal structure of Tb2CeHoSe6, with properties calculated at the PBE level.

Structure (POSCAR):
```
Tb2CeHoSe6
1.0
3.649 2.107 6.522
-3.649 2.107 6.522
0.000 -4.214 6.522
Tb Ce Ho Se
2 1 1 6
Cartesian
0.000 0.000 0.000 Tb
0.000 0.000 9.718 Tb
0.000 0.000 5.826 Ce
0.000 0.000 15.697 Ho
-1.132 -1.939 7.845 Se
-2.480 -0.279 11.090 Se
-1.113 1.950 7.845 Se
1.481 -2.008 11.090 Se
2.245 -0.011 7.845 Se
0.998 2.287 11.090 Se
```

Output
For the total energy, the calculation gives -58.90 eV for the cell shown.

***

(3)
Below is an optimized crystal structure of CeHoTeSe2, with properties calculated at the PBE level.

Structure (POSCAR):
```
CeHoTeSe2
1.0
4.630 0.000 0.000
0.000 4.630 0.000
0.000 0.000 14.063
Ce Ho Te Se
2 2 2 4
Cartesian
0.000 0.000 0.000 Ce
2.315 2.315 7.031 Ce
0.000 0.000 10.278 Ho
2.315 2.315 3.247 Ho
0.000 0.000 5.237 Te
2.315 2.315 12.268 Te
0.000 2.315 1.731 Se
0.000 2.315 8.762 Se
2.315 0.000 1.731 Se
2.315 0.000 8.762 Se
```

Output
For the total energy, the calculation gives -54.61 eV for the cell shown.

***

(4)
Below is an optimized crystal structure of CeHoTeSe, with properties calculated at the PBE level.

Structure (POSCAR):
```
CeHoTeSe
1.0
4.105 0.000 0.000
-2.053 3.555 0.000
0.000 0.000 23.040
Ce Ho Te Se
3 3 3 3
Cartesian
0.000 0.000 0.000 Ce
0.000 2.370 15.360 Ce
2.053 1.185 7.680 Ce
0.000 0.000 3.721 Ho
0.000 2.370 19.081 Ho
2.053 1.185 11.401 Ho
0.000 0.000 13.272 Te
0.000 2.370 5.592 Te
2.053 1.185 20.952 Te
0.000 0.000 17.356 Se
0.000 2.370 9.676 Se
2.053 1.185 1.996 Se
```

Output
For the total energy, the calculation gives -68.97 eV for the cell shown.